Record 1
The following is a DFT calculation (PBE) of an optimized crystal structure of PmAlAu.

a = 4.587 Å, b = 7.489 Å, c = 7.841 Å
α = 90.00°, β = 90.00°, γ = 90.00°
Space group Imm2 (No. 44)
Asymmetric unit:
Pm 0.000 0.000 0.000 [2 per cell]
Pm 0.000 0.500 0.074 [2 per cell]
Al 0.000 0.309 0.703 [4 per cell]
Au 0.000 0.219 0.371 [4 per cell]

Summary:
E = -56.16 eV for the cell shown
Fermi-level density of states = 6.86 states/eV/cell
Energy relative to the elements = -757 meV per atom
Spin magnetization = 0.00 μB per cell

Record 2
The following is a DFT calculation (PBE) of an optimized crystal structure of TbHoGa2Ni2.

a = 4.2555 Å, b = 4.2555 Å, c = 7.1535 Å
α = 90.00°, β = 90.00°, γ = 120.00°
Space group P-3m1 (No. 164)
Asymmetric unit:
Tb 0.0000 0.0000 0.0000 [1 per cell]
Ho 0.0000 0.0000 0.5000 [1 per cell]
Ga 0.3333 0.6667 0.2545 [2 per cell]
Ni 0.3333 0.6667 0.7438 [2 per cell]

Summary:
E = -30.47 eV for the cell shown
Fermi-level density of states = 4.75 states/eV/cell
Energy relative to the elements = -608 meV per atom
Spin magnetization = 0.00 μB per cell

Record 3
The following is a DFT calculation (PBE) of an optimized crystal structure of LaCu3Si.

a = 6.158 Å, b = 9.601 Å, c = 5.914 Å
α = 90.00°, β = 90.00°, γ = 90.00°
Space group Cmcm (No. 63)
Asymmetric unit:
La 0.000 0.233 0.250 [4 per cell]
Cu 0.000 0.110 0.750 [4 per cell]
Cu 0.213 0.500 0.000 [8 per cell]
Si 0.000 0.357 0.750 [4 per cell]

Summary:
E = -97.54 eV for the cell shown
Uncorrected formation energy = -349 meV/atom
Fermi-level density of states = 17.64 states/eV/cell
Spin magnetization = 0.00 μB per cell

Record 4
The following is a DFT calculation (PBE) of an optimized crystal structure of TaWCl2.

a = 5.754 Å, b = 8.114 Å, c = 2.865 Å
α = 90.00°, β = 90.00°, γ = 90.00°
Space group Cmmm (No. 65)
Asymmetric unit:
Ta 0.000 0.000 0.000 [2 per cell]
W 0.000 0.500 0.000 [2 per cell]
Cl 0.250 0.250 0.500 [4 per cell]

Summary:
E = -47.76 eV for the cell shown
Uncorrected formation energy = 1155 meV/atom
Fermi-level density of states = 6.78 states/eV/cell
Spin magnetization = 0.00 μB per cell